[1]
TcP2Pb | PBE | optimized geometry

The structure in extended XYZ format:
```
4
Lattice="4.614 0.000 0.000 0.000 3.235 0.000 -1.258 0.000 4.680" Properties=species:S:1:pos:R:3 pbc="T T T"
Tc 0.000 0.000 0.000
P -0.629 1.618 2.340
P 1.678 0.000 2.340
Pb 2.307 1.618 0.000
```

Output
Calculated formation energy in eV/atom: 0.78
DOS at the Fermi energy in states/eV per cell: 2.80
Density in g cm⁻³: 8.7
Total DFT energy (no corrections) in eV per atom: -5.45
Crystal system: monoclinic

[2]
Na2GaSn | PBE | optimized geometry

The structure in extended XYZ format:
```
4
Lattice="2.358 1.361 5.693 -2.358 1.361 5.693 0.000 -2.723 5.693" Properties=species:S:1:pos:R:3 pbc="T T T"
Na 0.000 0.000 0.000
Na 0.000 0.000 3.792
Ga 0.000 0.000 13.751
Sn 0.000 0.000 7.326
```

Output
Calculated formation energy in eV/atom: -0.11
DOS at the Fermi energy in states/eV per cell: 1.82
Density in g cm⁻³: 3.5
Total DFT energy (no corrections) in eV per atom: -2.53
Crystal system: trigonal
Offset from the most stable computed form in eV per formula unit: 0.05

[3]
FeCo2HPt | PBE | optimized geometry

The structure in extended XYZ format:
```
5
Lattice="3.696 0.000 0.000 0.000 3.696 0.000 0.000 0.000 3.758" Properties=species:S:1:pos:R:3 pbc="T T T"
Fe 0.000 0.000 0.000
Co 0.000 1.848 1.879
Co 1.848 0.000 1.879
H 0.000 0.000 1.879
Pt 1.848 1.848 0.000
```

Output
DOS at the Fermi energy in states/eV per cell: 3.53
Density in g cm⁻³: 12.0
Total DFT energy (no corrections) in eV per atom: -6.50
Crystal system: tetragonal
Offset from the most stable computed form in eV per formula unit: 0.00

[4]
SbTeAu | PBE | optimized geometry

The structure in extended XYZ format:
```
12
Lattice="4.502 0.000 0.000 0.000 6.561 0.000 -0.826 0.000 11.739" Properties=species:S:1:pos:R:3 pbc="T T T"
Sb 0.904 0.087 2.666
Sb 0.491 3.194 8.536
Sb 3.185 3.367 3.203
Sb 2.772 6.474 9.073
Te 0.710 1.599 6.193
Te 1.122 1.682 0.323
Te 2.554 4.879 11.416
Te 2.967 4.962 5.546
Au 0.980 4.099 1.683
Au 0.567 5.742 7.553
Au 3.109 0.819 4.186
Au 2.696 2.462 10.056
```

Output
DOS at the Fermi energy in states/eV per cell: 4.16
Density in g cm⁻³: 8.6
Total DFT energy (no corrections) in eV per atom: -3.56
Crystal system: monoclinic
Formation energy without anion corrections in kJ per mole of atoms: -5

[5]
BaIn2Os | PBE | optimized geometry

The structure in extended XYZ format:
```
4
Lattice="4.519 0.000 0.000 0.000 4.519 0.000 0.000 0.000 5.093" Properties=species:S:1:pos:R:3 pbc="T T T"
Ba 0.000 0.000 0.000
In 0.000 2.259 2.547
In 2.259 0.000 2.547
Os 2.259 2.259 0.000
```

Output
Calculated formation energy in eV/atom: 0.69
DOS at the Fermi energy in states/eV per cell: 4.69
Density in g cm⁻³: 8.9
Total DFT energy (no corrections) in eV per atom: -3.97
Crystal system: tetragonal

[6]
ScSiMoPd2 | PBE | optimized geometry

The structure in extended XYZ format:
```
5
Lattice="4.789 0.000 0.000 0.000 4.789 0.000 0.000 0.000 4.901" Properties=species:S:1:pos:R:3 pbc="T T T"
Sc 0.000 0.000 0.000
Si 2.394 2.394 0.000
Mo 0.000 0.000 2.450
Pd 0.000 2.394 2.450
Pd 2.394 0.000 2.450
```

Output
DOS at the Fermi energy in states/eV per cell: 4.60
Density in g cm⁻³: 5.6
Total DFT energy (no corrections) in eV per atom: -5.58
Crystal system: tetragonal
Formation energy without anion corrections in kJ per mole of atoms: 98